Entry 1:
This record from the Alexandria database describes a geometry-optimized CdP3Os structure. The functional is PBE-GGA.

Computed properties:
The energy of formation from the pure elements is 0.6686 eV per atom. Its relative energy among the computed polymorphs is 0 meV/atom.

CIF file:
```
data_CdP3Os
_chemical_formula_sum 'Cd1 P3 Os1'
_symmetry_space_group_name_H-M 'P m -3 m'
_symmetry_Int_Tables_number 221
_symmetry_space_group_name_Hall '-P 4 2 3'
_cell_length_a 4.663
_cell_length_b 4.663
_cell_length_c 4.663
_cell_angle_alpha 90.00
_cell_angle_beta 90.00
_cell_angle_gamma 90.00
loop_
_atom_site_label
_atom_site_fract_x
_atom_site_fract_y
_atom_site_fract_z
_atom_site_occupancy
Cd1 0.000 0.000 0.000 1
P1 0.000 0.500 0.500 1
Os1 0.500 0.500 0.500 1
```


Entry 2:
This record from the Alexandria database describes a geometry-optimized CdPOs structure. The functional is PBE-GGA.

Computed properties:
The energy of formation from the pure elements is 0.3947 eV per atom.

CIF file:
```
data_CdPOs
_chemical_formula_sum 'Cd4 P4 Os4'
_symmetry_space_group_name_H-M 'F m m 2'
_symmetry_Int_Tables_number 42
_symmetry_space_group_name_Hall 'F 2 -2'
_cell_length_a 2.986
_cell_length_b 4.979
_cell_length_c 14.743
_cell_angle_alpha 90.00
_cell_angle_beta 90.00
_cell_angle_gamma 90.00
loop_
_atom_site_label
_atom_site_fract_x
_atom_site_fract_y
_atom_site_fract_z
_atom_site_occupancy
Cd1 0.000 0.000 0.000 1
P1 0.000 0.000 0.286 1
Os1 0.000 0.000 0.670 1
```


Entry 3:
This record from the Alexandria database describes a geometry-optimized CdPOs2 structure. The functional is PBE-GGA.

Computed properties:
The energy of formation from the pure elements is 0.8484 eV per atom. Its relative energy among the computed polymorphs is 662 meV/atom.

CIF file:
```
data_CdPOs2
_chemical_formula_sum 'Cd2 P2 Os4'
_symmetry_space_group_name_H-M 'C 1 2/m 1'
_symmetry_Int_Tables_number 12
_symmetry_space_group_name_Hall '-C 2y'
_cell_length_a 5.732
_cell_length_b 8.738
_cell_length_c 2.856
_cell_angle_alpha 90.00
_cell_angle_beta 119.07
_cell_angle_gamma 90.00
loop_
_atom_site_label
_atom_site_fract_x
_atom_site_fract_y
_atom_site_fract_z
_atom_site_occupancy
Cd1 0.000 0.000 0.000 1
P1 0.000 0.500 0.000 1
Os1 0.250 0.250 0.500 1
```


Entry 4:
This record from the Alexandria database describes a geometry-optimized CdPOs2 structure. The functional is PBE-GGA.

Computed properties:
The energy of formation from the pure elements is 0.2783 eV per atom. Its relative energy among the computed polymorphs is 92 meV/atom.

CIF file:
```
data_CdPOs2
_chemical_formula_sum 'Cd2 P2 Os4'
_symmetry_space_group_name_H-M 'C 1 2/m 1'
_symmetry_Int_Tables_number 12
_symmetry_space_group_name_Hall '-C 2y'
_cell_length_a 6.828
_cell_length_b 2.863
_cell_length_c 7.876
_cell_angle_alpha 90.00
_cell_angle_beta 113.62
_cell_angle_gamma 90.00
loop_
_atom_site_label
_atom_site_fract_x
_atom_site_fract_y
_atom_site_fract_z
_atom_site_occupancy
Cd1 0.000 0.000 0.000 1
P1 0.000 0.500 0.500 1
Os1 0.210 0.500 0.336 1
```


Entry 5:
This record from the Alexandria database describes a geometry-optimized CdPOs structure. The functional is PBE-GGA.

Computed properties:
The energy of formation from the pure elements is 0.0456 eV per atom.

CIF file:
```
data_CdPOs
_chemical_formula_sum 'Cd1 P1 Os1'
_symmetry_space_group_name_H-M 'P 3 m 1'
_symmetry_Int_Tables_number 156
_symmetry_space_group_name_Hall 'P 3 -2"'
_cell_length_a 3.0366
_cell_length_b 3.0366
_cell_length_c 6.5032
_cell_angle_alpha 90.00
_cell_angle_beta 90.00
_cell_angle_gamma 120.00
loop_
_atom_site_label
_atom_site_fract_x
_atom_site_fract_y
_atom_site_fract_z
_atom_site_occupancy
Cd1 0.0000 0.0000 0.0000 1
P1 0.3333 0.6667 0.5948 1
Os1 0.6667 0.3333 0.3621 1
```


Entry 6:
This record from the Alexandria database describes a geometry-optimized Cd2P2Os structure. The functional is PBE-GGA.

Computed properties:
The energy of formation from the pure elements is 0.0341 eV per atom. Its relative energy among the computed polymorphs is 0 meV/atom.

CIF file:
```
data_Cd2P2Os
_chemical_formula_sum 'Cd4 P4 Os2'
_symmetry_space_group_name_H-M 'P 4/m b m'
_symmetry_Int_Tables_number 127
_symmetry_space_group_name_Hall '-P 4 2ab'
_cell_length_a 5.968
_cell_length_b 5.968
_cell_length_c 5.033
_cell_angle_alpha 90.00
_cell_angle_beta 90.00
_cell_angle_gamma 90.00
loop_
_atom_site_label
_atom_site_fract_x
_atom_site_fract_y
_atom_site_fract_z
_atom_site_occupancy
Cd1 0.185 0.315 0.000 1
P1 0.134 0.634 0.500 1
Os1 0.000 0.000 0.500 1
```


Entry 7:
This record from the Alexandria database describes a geometry-optimized CdPOs2 structure. The functional is PBE-GGA.

Computed properties:
The energy of formation from the pure elements is 0.4161 eV per atom. Its relative energy among the computed polymorphs is 230 meV/atom.

CIF file:
```
data_CdPOs2
_chemical_formula_sum 'Cd2 P2 Os4'
_symmetry_space_group_name_H-M 'C 1 m 1'
_symmetry_Int_Tables_number 8
_symmetry_space_group_name_Hall 'C -2y'
_cell_length_a 10.140
_cell_length_b 2.867
_cell_length_c 5.243
_cell_angle_alpha 90.00
_cell_angle_beta 117.82
_cell_angle_gamma 90.00
loop_
_atom_site_label
_atom_site_fract_x
_atom_site_fract_y
_atom_site_fract_z
_atom_site_occupancy
Cd1 0.000 0.000 0.000 1
P1 0.187 0.000 0.725 1
Os1 0.252 0.500 0.439 1
Os2 0.473 0.000 0.458 1
```


Entry 8:
This record from the Alexandria database describes a geometry-optimized CdPOs2 structure. The functional is PBE-GGA.

Computed properties:
The energy of formation from the pure elements is 0.2596 eV per atom. Its relative energy among the computed polymorphs is 73 meV/atom.

CIF file:
```
data_CdPOs2
_chemical_formula_sum 'Cd1 P1 Os2'
_symmetry_space_group_name_H-M 'P 4 m m'
_symmetry_Int_Tables_number 99
_symmetry_space_group_name_Hall 'P 4 -2'
_cell_length_a 2.854
_cell_length_b 2.854
_cell_length_c 8.068
_cell_angle_alpha 90.00
_cell_angle_beta 90.00
_cell_angle_gamma 90.00
loop_
_atom_site_label
_atom_site_fract_x
_atom_site_fract_y
_atom_site_fract_z
_atom_site_occupancy
Cd1 0.000 0.000 0.000 1
P1 0.500 0.500 0.663 1
Os1 0.000 0.000 0.484 1
Os2 0.500 0.500 0.258 1
```


Entry 9:
This record from the Alexandria database describes a geometry-optimized CdPOs2 structure. The functional is PBE-GGA.

Computed properties:
The energy of formation from the pure elements is 0.7813 eV per atom. Its relative energy among the computed polymorphs is 595 meV/atom.

CIF file:
```
data_CdPOs2
_chemical_formula_sum 'Cd1 P1 Os2'
_symmetry_space_group_name_H-M 'P 4/m m m'
_symmetry_Int_Tables_number 123
_symmetry_space_group_name_Hall '-P 4 2'
_cell_length_a 4.377
_cell_length_b 4.377
_cell_length_c 3.116
_cell_angle_alpha 90.00
_cell_angle_beta 90.00
_cell_angle_gamma 90.00
loop_
_atom_site_label
_atom_site_fract_x
_atom_site_fract_y
_atom_site_fract_z
_atom_site_occupancy
Cd1 0.000 0.000 0.000 1
P1 0.500 0.500 0.000 1
Os1 0.000 0.500 0.500 1
```


Entry 10:
This record from the Alexandria database describes a geometry-optimized CdPOs2 structure. The functional is PBE-GGA.

Computed properties:
The energy of formation from the pure elements is 0.3974 eV per atom. Its relative energy among the computed polymorphs is 211 meV/atom.

CIF file:
```
data_CdPOs2
_chemical_formula_sum 'Cd2 P2 Os4'
_symmetry_space_group_name_H-M 'I m m m'
_symmetry_Int_Tables_number 71
_symmetry_space_group_name_Hall '-I 2 2'
_cell_length_a 2.884
_cell_length_b 4.796
_cell_length_c 8.856
_cell_angle_alpha 90.00
_cell_angle_beta 90.00
_cell_angle_gamma 90.00
loop_
_atom_site_label
_atom_site_fract_x
_atom_site_fract_y
_atom_site_fract_z
_atom_site_occupancy
Cd1 0.000 0.000 0.000 1
P1 0.000 0.000 0.500 1
Os1 0.000 0.500 0.210 1
```


Entry 11:
This record from the Alexandria database describes a geometry-optimized CdSbP2Os structure. The functional is PBE-GGA.

Computed properties:
The calculation puts the uncorrected formation energy at 2.034 eV/atom.

CIF file:
```
data_CdSbP2Os
_chemical_formula_sum 'Cd1 Sb1 P2 Os1'
_symmetry_space_group_name_H-M 'P 4/m m m'
_symmetry_Int_Tables_number 123
_symmetry_space_group_name_Hall '-P 4 2'
_cell_length_a 4.765
_cell_length_b 4.765
_cell_length_c 5.449
_cell_angle_alpha 90.00
_cell_angle_beta 90.00
_cell_angle_gamma 90.00
loop_
_atom_site_label
_atom_site_fract_x
_atom_site_fract_y
_atom_site_fract_z
_atom_site_occupancy
Cd1 0.000 0.000 0.000 1
Sb1 0.000 0.000 0.500 1
P1 0.000 0.500 0.000 1
Os1 0.500 0.500 0.500 1
```


Entry 12:
This record from the Alexandria database describes a geometry-optimized Cd2TcPOs structure. The functional is PBE-GGA.

Computed properties:
The energy of formation from the pure elements is 1.3275 eV per atom.

CIF file:
```
data_Cd2TcPOs
_chemical_formula_sum 'Cd2 Tc1 P1 Os1'
_symmetry_space_group_name_H-M 'P 4/m m m'
_symmetry_Int_Tables_number 123
_symmetry_space_group_name_Hall '-P 4 2'
_cell_length_a 4.797
_cell_length_b 4.797
_cell_length_c 4.361
_cell_angle_alpha 90.00
_cell_angle_beta 90.00
_cell_angle_gamma 90.00
loop_
_atom_site_label
_atom_site_fract_x
_atom_site_fract_y
_atom_site_fract_z
_atom_site_occupancy
Cd1 0.000 0.500 0.000 1
Tc1 0.000 0.000 0.500 1
P1 0.000 0.000 0.000 1
Os1 0.500 0.500 0.500 1
```


Calculated DOS(E_F) (states/eV/atom), listed in the same order as above: 0.7283 0.5264 0.9667 0.4093 0.1455 0.3166 1.0028 0.5495 1.1571 0.5917 1.2522 1.3773
Calculated E_tot (Ry per atom), listed in the same order as above: -0.368 -0.401 -0.467 -0.508 -0.427 -0.349 -0.498 -0.510 -0.471 -0.500 -0.249 -0.326